K2InCu after structural relaxation. Source: Alexandria, functional GGA-PBE.

Calculated values
Formation energy (eV/atom): 0.320
D(E_F) (states/eV/f.u.): 2.49
Space group: P4/mmm, No. 123
V (Å³/atom): 34.60
DFT total energy (eV for the cell shown): -7.7
Mass density (g/cm3): 3.078

Lattice parameters (Å, degrees): 5.3072 5.3025 4.9177 90.00 90.00 90.00
Closest atoms and distances in Å follow each position.
Fractional coordinates of all 4 atoms:
Cu  0.5000  0.0000  0.5000  8 K 3.62, 4 In 3.75
In  0.0000  0.5000  0.5000  8 K 3.62, 4 Cu 3.75
K  0.5000  0.5000  0.0000  4 Cu 3.62, 4 In 3.62, 4 K 3.75
K  0.0000  0.0000  0.0000  4 In 3.62, 4 Cu 3.62, 4 K 3.75

***

K2In4Cu after structural relaxation. Source: Alexandria, functional GGA-PBE.

Calculated values
Formation energy (eV/atom): 0.057
D(E_F) (states/eV/f.u.): 3.45
Space group: I4/mmm, No. 139
V (Å³/atom): 35.72
DFT total energy (eV for the cell shown): -16.8
Mass density (g/cm3): 3.991

Lattice parameters (Å, degrees): 5.1317 5.1317 10.1654 75.38 75.38 90.00
Closest atoms and distances in Å follow each position.
Fractional coordinates of all 7 atoms:
Cu  0.0000  0.0000  0.0000  6 In 2.57-2.59
In  0.1364  0.1364  0.7272  1 Cu 2.59
In  0.0000  0.5000  0.0000  2 Cu 2.57
In  0.8636  0.8636  0.2728  1 Cu 2.59
In  0.5000  0.0000  0.0000  2 Cu 2.57
K  0.6673  0.6673  0.6655  9 In 3.68-4.08
K  0.3327  0.3327  0.3345  9 In 3.68-4.08

***

K2InCu after structural relaxation. Source: Alexandria, functional GGA-PBE.

Calculated values
Formation energy (eV/atom): 0.109
D(E_F) (states/eV/f.u.): 1.60
Space group: Pm, No. 6
V (Å³/atom): 38.19
DFT total energy (eV for the cell shown): -8.6
Mass density (g/cm3): 2.789

Lattice parameters (Å, degrees): 4.4662 5.5073 6.7889 66.17 90.00 90.00
Closest atoms and distances in Å follow each position.
Fractional coordinates of all 4 atoms:
Cu  0.0000  0.6825  0.5139  2 In 2.59
K  0.5000  0.2710  0.3327  3 In 3.67-3.78, 4 Cu 3.71-3.73
K  0.0000  0.9723  0.9287  3 Cu 3.63-3.79, 4 In 3.76-3.77
In  0.5000  0.5741  0.7247  2 Cu 2.59

***

K2InCu after structural relaxation. Source: Alexandria, functional GGA-PBE.

Calculated values
Formation energy (eV/atom): 0.281
D(E_F) (states/eV/f.u.): 1.33
Space group: P2/m, No. 10
V (Å³/atom): 34.45
DFT total energy (eV for the cell shown): -7.9
Mass density (g/cm3): 3.092

Lattice parameters (Å, degrees): 4.5249 4.2675 8.3054 59.23 90.00 90.00
Closest atoms and distances in Å follow each position.
Fractional coordinates of all 4 atoms:
K  0.0000  0.9842  0.0161  1 K 3.34, 4 Cu 3.53, 4 In 3.64-3.65
K  0.0000  0.5158  0.4839  1 K 3.34, 4 Cu 3.53, 4 In 3.64-3.65
Cu  0.5000  0.2500  0.2500  8 K 3.53, 2 In 3.57
In  0.5000  0.7500  0.7500  2 Cu 3.57, 8 K 3.64-3.65

***

KIn3Cu after structural relaxation. Source: Alexandria, functional GGA-PBE.

Calculated values
Formation energy (eV/atom): 1.214
D(E_F) (states/eV/f.u.): 6.76
Space group: Pm-3m, No. 221
V (Å³/atom): 46.75
DFT total energy (eV for the cell shown): -7.3
Mass density (g/cm3): 3.176
E above lowest polymorph (meV/atom): 1205.4

Lattice parameters (Å, degrees): 6.1599 6.1599 6.1599 90.00 90.00 90.00
Closest atoms and distances in Å follow each position.
Fractional coordinates of all 5 atoms:
In  0.0000  0.5000  0.0000  2 K 3.08
In  0.0000  0.0000  0.5000  2 K 3.08
In  0.5000  0.0000  0.0000  2 K 3.08
K  0.0000  0.0000  0.0000  6 In 3.08
Cu  0.5000  0.5000  0.5000  12 In 4.36

***

K2InCu2 after structural relaxation. Source: Alexandria, functional GGA-PBE.

Calculated values
Formation energy (eV/atom): 0.228
D(E_F) (states/eV/f.u.): 2.38
Space group: P4/mbm, No. 127
V (Å³/atom): 27.58
DFT total energy (eV for the cell shown): -24.0
Mass density (g/cm3): 3.854

Lattice parameters (Å, degrees): 7.0784 7.0784 5.5048 90.00 90.00 90.00
Closest atoms and distances in Å follow each position.
Fractional coordinates of all 10 atoms:
Cu  0.8761  0.6239  0.0000  1 Cu 2.48
Cu  0.3761  0.8761  0.0000  1 Cu 2.48
Cu  0.1239  0.3761  0.0000  1 Cu 2.48
Cu  0.6239  0.1239  0.0000  1 Cu 2.48
K  0.1789  0.6789  0.5000  6 Cu 3.39-3.51, 5 K 3.58-3.68, 4 In 3.79
K  0.3211  0.1789  0.5000  6 Cu 3.39-3.51, 5 K 3.58-3.68, 4 In 3.79
K  0.8211  0.3211  0.5000  6 Cu 3.39-3.51, 5 K 3.58-3.68, 4 In 3.79
K  0.6789  0.8211  0.5000  6 Cu 3.39-3.51, 5 K 3.58-3.68, 4 In 3.79
In  0.0000  0.0000  0.0000  4 Cu 2.80
In  0.5000  0.5000  0.0000  4 Cu 2.80

***

KIn3Cu after structural relaxation. Source: Alexandria, functional GGA-PBE.

Calculated values
Formation energy (eV/atom): 0.009
D(E_F) (states/eV/f.u.): 2.51
Space group: P6_3/mmc, No. 194
V (Å³/atom): 26.74
DFT total energy (eV for the cell shown): -26.7
Mass density (g/cm3): 5.552
E above lowest polymorph (meV/atom): 0.0

Lattice parameters (Å, degrees): 5.9810 7.1855 7.1864 120.02 90.00 90.00
Closest atoms and distances in Å follow each position.
Fractional coordinates of all 10 atoms:
In  0.2500  0.8193  0.1806  2 Cu 2.70
In  0.7500  0.6386  0.8193  2 Cu 2.70
In  0.2500  0.8192  0.6386  2 Cu 2.70
In  0.2500  0.3614  0.1807  2 Cu 2.70
In  0.7500  0.1808  0.3614  2 Cu 2.70
In  0.7500  0.1807  0.8194  2 Cu 2.70
Cu  0.5000  0.0000  0.0000  6 In 2.70, 2 Cu 2.99
Cu  0.0000  0.0000  0.0000  6 In 2.70, 2 Cu 2.99
K  0.2500  0.3332  0.6666  12 In 3.54-3.60
K  0.7500  0.6668  0.3334  12 In 3.54-3.60

***

KMgIn2Cu after structural relaxation. Source: Alexandria, functional GGA-PBE.

Calculated values
Formation energy (eV/atom): 0.040
D(E_F) (states/eV/f.u.): 1.60
Space group: P4/mmm, No. 123
V (Å³/atom): 27.92
DFT total energy (eV for the cell shown): -12.1
Mass density (g/cm3): 4.242

Lattice parameters (Å, degrees): 5.2177 5.2177 5.1271 90.00 90.00 90.00
Closest atoms and distances in Å follow each position.
Fractional coordinates of all 5 atoms:
K  0.5000  0.5000  0.5000  8 In 3.66, 4 Mg 3.69
In  0.0000  0.5000  0.0000  2 Cu 2.61
In  0.5000  0.0000  0.0000  2 Cu 2.61
Mg  0.0000  0.0000  0.5000  2 Cu 2.56
Cu  0.0000  0.0000  0.0000  2 Mg 2.56, 4 In 2.61